Below is crystalline Pr2InSn at its relaxed geometry, with properties calculated at the PBE level.

Lattice parameters (Å, degrees): 8.897 10.225 10.290 90.00 90.00 90.00
Space group Fmmm (No. 69)
Unique sites:
Pr: 0.210 0.000 0.000 x8
Pr: 0.250 0.250 0.250 x8
In: 0.000 0.220 0.500 x8
Sn: 0.000 0.000 0.282 x8

For the formation energy, the calculation gives -0.608 eV per atom. The calculation puts the magnetic moment at 0.000 Bohr magnetons per cell.


Below is crystalline Pr3In2Sn2 at its relaxed geometry, with properties calculated at the PBE level.

Lattice parameters (Å, degrees): 4.492 4.624 20.475 90.00 90.00 90.00
Space group Immm (No. 71)
Unique sites:
Pr: 0.000 0.000 0.000 x2
Pr: 0.000 0.500 0.315 x4
In: 0.000 0.000 0.433 x4
Sn: 0.000 0.500 0.155 x4

For the formation energy, the calculation gives -0.604 eV per atom. The calculation puts the magnetic moment at 0.000 Bohr magnetons per cell.